1.
Computed, not measured: a relaxed structure of La3BiPt at the PBE level of DFT.

Structure (POSCAR):
```
La3BiPt
1.0
-2.600 5.849 2.007
0.480 -6.363 2.069
9.519 2.427 5.259
Bi La Pt
2 6 2
direct
0.261 0.739 0.250 Bi
0.739 0.261 0.750 Bi
0.853 0.147 0.043 La
0.558 0.442 0.250 La
0.853 0.147 0.457 La
0.147 0.853 0.543 La
0.442 0.558 0.750 La
0.147 0.853 0.957 La
0.500 0.500 0.000 Pt
0.500 0.500 0.500 Pt
```

Summary:
crystal system	orthorhombic
energy	-5.8701	eV/atom

=====

2.
Computed, not measured: a relaxed structure of TaInPO at the PBE level of DFT.

Structure (POSCAR):
```
TaInPO
1.0
-1.683 2.790 0.900
-3.262 -0.087 -5.831
-5.235 -4.123 2.990
In O P Ta
2 2 2 2
direct
0.000 0.801 0.066 In
0.000 0.199 0.566 In
0.500 0.446 0.257 O
0.500 0.554 0.757 O
0.000 0.838 0.436 P
0.000 0.162 0.936 P
0.500 0.579 0.495 Ta
0.500 0.421 0.995 Ta
```

Summary:
offset from the most stable computed form	71	meV/atom
crystal system	orthorhombic

=====

3.
Computed, not measured: a relaxed structure of Y2ErTm3Bi2Os at the PBE level of DFT.

Structure (POSCAR):
```
Y2ErTm3Bi2Os
1.0
4.219 0.000 0.000
0.000 7.121 4.130
0.000 -7.121 4.130
Bi Er Os Tm Y
2 1 1 3 2
direct
0.500 0.666 0.335 Bi
0.500 0.335 0.666 Bi
0.500 0.765 0.765 Er
0.000 0.994 0.994 Os
0.000 0.386 0.386 Tm
0.000 0.999 0.617 Tm
0.000 0.617 0.999 Tm
0.500 0.237 0.000 Y
0.500 0.000 0.237 Y
```

Summary:
crystal system	orthorhombic
energy	-6.1023	eV/atom

=====

4.
Computed, not measured: a relaxed structure of ReSnAsO at the PBE level of DFT.

Structure (POSCAR):
```
ReSnAsO
1.0
-2.090 3.050 -0.833
-4.757 -4.802 -5.653
-3.077 -1.137 3.556
As O Re Sn
2 2 2 2
direct
0.000 0.311 0.422 As
0.000 0.689 0.922 As
0.500 0.607 0.424 O
0.500 0.393 0.924 O
0.000 0.601 0.424 Re
0.000 0.399 0.924 Re
0.500 0.089 0.485 Sn
0.500 0.911 0.985 Sn
```

Summary:
offset from the most stable computed form	241	meV/atom
crystal system	orthorhombic

=====

5.
Computed, not measured: a relaxed structure of HoCoOs at the PBE level of DFT.

Structure (POSCAR):
```
HoCoOs
1.0
0.000 3.115 3.115
3.115 0.000 3.115
3.115 3.115 0.000
Co Ho Os
1 1 1
direct
0.750 0.750 0.750 Co
0.000 0.000 0.000 Ho
0.250 0.250 0.250 Os
```

Summary:
offset from the most stable computed form	702	meV/atom
crystal system	cubic

=====

6.
Computed, not measured: a relaxed structure of ScBe2Co at the PBE level of DFT.

Structure (POSCAR):
```
ScBe2Co
1.0
-0.532 2.115 3.440
0.396 4.054 -0.019
-3.283 2.369 0.447
Be Co Sc
2 1 1
direct
0.000 0.000 0.000 Be
0.750 0.750 0.750 Be
0.250 0.250 0.250 Co
0.500 0.500 0.500 Sc
```

Summary:
crystal system	cubic
energy	-5.2331	eV/atom

=====

7.
Computed, not measured: a relaxed structure of DySnTeAuSe2 at the PBE level of DFT.

Structure (POSCAR):
```
DySnTeAuSe2
1.0
-3.335 5.214 4.021
2.726 -6.852 -0.319
9.868 3.772 3.293
Au Dy Se Sn Te
2 2 4 2 2
direct
0.970 0.030 0.250 Au
0.030 0.970 0.750 Au
0.500 0.500 0.000 Dy
0.500 0.500 0.500 Dy
0.861 0.139 0.055 Se
0.861 0.139 0.445 Se
0.139 0.861 0.555 Se
0.139 0.861 0.945 Se
0.299 0.701 0.250 Sn
0.701 0.299 0.750 Sn
0.605 0.395 0.250 Te
0.395 0.605 0.750 Te
```

Summary:
crystal system	orthorhombic
energy	-4.4679	eV/atom